# 1
4
Lattice="0.0000 3.7857 3.7857 3.7857 0.0000 3.7857 3.7857 3.7857 0.0000" Properties=species:S:1:pos:R:3 comment="AcHoCuHg | Alexandria | GGA-PBE | relaxed" density_g_cm3=10.04 dos_ef_per_ev_fu=1.7 delta_e_f_ev_per_atom=-0.241 vol_a3_per_cell=108.5 pbc="T T T"
Ac 0.0000 0.0000 0.0000
Ho 3.7857 3.7857 3.7857
Cu 5.6786 5.6786 5.6786
Hg 1.8929 1.8929 1.8929


# 2
4
Lattice="0.0000 3.7117 3.7117 3.7117 0.0000 3.7117 3.7117 3.7117 0.0000" Properties=species:S:1:pos:R:3 comment="AcInCuHg | Alexandria | GGA-PBE | relaxed" density_g_cm3=9.84 dos_ef_per_ev_fu=1.8 delta_e_f_ev_per_atom=-0.268 vol_a3_per_cell=102.3 pbc="T T T"
Ac 0.0000 0.0000 0.0000
In 3.7117 3.7117 3.7117
Cu 5.5676 5.5676 5.5676
Hg 1.8559 1.8559 1.8559


# 3
10
Lattice="4.7251 0.0000 0.0000 0.0000 4.7251 0.0000 0.0000 0.0000 10.8956" Properties=species:S:1:pos:R:3 comment="Ac2In4Cu3Hg | Alexandria | GGA-PBE | relaxed" density_g_cm3=8.90 dos_ef_per_ev_fu=5.7 delta_e_f_ev_per_atom=-0.282 vol_a3_per_cell=243.3 pbc="T T T"
Ac 0.0000 2.3625 2.6737
Ac 2.3625 0.0000 8.2219
In 0.0000 0.0000 5.4478
In 0.0000 2.3625 9.3576
In 2.3625 0.0000 1.5380
In 2.3625 2.3625 5.4478
Cu 0.0000 0.0000 0.0000
Cu 0.0000 2.3625 6.7791
Cu 2.3625 0.0000 4.1164
Hg 2.3625 2.3625 0.0000


# 4
20
Lattice="3.5365 2.0418 13.1233 -3.5365 2.0418 13.1233 0.0000 -4.0836 13.1233" Properties=species:S:1:pos:R:3 comment="Ac2In6CuHg | Alexandria | GGA-PBE | relaxed" density_g_cm3=8.22 dos_ef_per_ev_fu=5.7 delta_e_f_ev_per_atom=-0.181 vol_a3_per_cell=568.6 pbc="T T T"
Ac 0.0000 0.0000 4.1812
Ac 0.0000 0.0000 11.0228
Ac 0.0000 0.0000 28.3471
Ac 0.0000 0.0000 35.1887
In -2.0621 -1.1906 18.5188
In 0.0000 -1.8139 14.3985
In -1.5709 0.9070 14.3985
In 0.0000 -2.3811 20.8511
In -2.0621 1.1906 20.8511
In -1.5709 -0.9070 24.9714
In 1.5709 0.9070 14.3985
In 2.0621 -1.1906 18.5189
In 0.0000 2.3811 18.5189
In 1.5709 -0.9070 24.9714
In 0.0000 1.8139 24.9714
In 2.0621 1.1906 20.8511
Cu 0.0000 0.0000 0.0000
Cu 0.0000 0.0000 19.6849
Hg 0.0000 0.0000 16.7793
Hg 0.0000 0.0000 22.5906